ScRu2 after structural relaxation. Source: the Alexandria database, functional PBE.

a b c (Å): 3.922 3.922 24.642
angles (deg): 90.00 90.00 90.00
Space group I4_1/amd (No. 141, origin choice 2)
Inequivalent atoms, fractional coordinates:
Sc (0.000, 0.250, 0.299) [8 per cell]
Ru (0.000, 0.250, 0.127) [8 per cell]
Ru (0.000, 0.250, 0.791) [8 per cell]

Calculated values
E: -8.4051 eV per atom
D(E_F): 3.84 states/eV/f.u.

TmLuCdBi after structural relaxation. Source: the Alexandria database, functional PBE.

a b c (Å): 7.561 7.561 7.561
angles (deg): 90.00 90.00 90.00
Space group F-43m (No. 216)
Inequivalent atoms, fractional coordinates:
Tm (0.000, 0.000, 0.000) [4 per cell]
Lu (0.000, 0.000, 0.500) [4 per cell]
Cd (0.250, 0.250, 0.250) [4 per cell]
Bi (0.250, 0.250, 0.750) [4 per cell]

Calculated values
E: -3.7880 eV per atom
D(E_F): 4.72 states/eV/f.u.

Y2Zn2Ni after structural relaxation. Source: the Alexandria database, functional PBE.

a b c (Å): 6.788 6.788 4.470
angles (deg): 90.00 90.00 90.00
Space group P4/mbm (No. 127)
Inequivalent atoms, fractional coordinates:
Y (0.176, 0.324, 0.000) [4 per cell]
Zn (0.133, 0.633, 0.500) [4 per cell]
Ni (0.000, 0.000, 0.500) [2 per cell]

Calculated values
E: -4.4615 eV per atom
D(E_F): 6.76 states/eV/f.u.
polymorph energy (0 for the lowest one): 0.178 eV per atom